# 1
A plane-wave DFT calculation with PBE-GGA was carried out for CsMgIn after structural relaxation.

Calculated values
The total energy is -5.0 eV per cell. As for the space group: I4mm (107).

```
3
Lattice="4.056 0.000 0.000 0.000 4.056 0.000 -2.028 -2.028 7.183" Properties=species:S:1:pos:R:3 pbc="T T T"
Cs 0.000 0.000 0.062
Mg 0.000 0.000 4.078
In 2.028 2.028 3.044
```

---

# 2
A plane-wave DFT calculation with PBE-GGA was carried out for InNiSe2 after structural relaxation.

Calculated values
As for the space group: C2/m (12). The energy relative to the elements, uncorrected is -182.0 meV per atom.

```
4
Lattice="6.446 0.032 0.042 5.464 3.419 0.042 1.525 0.442 4.165" Properties=species:S:1:pos:R:3 pbc="T T T"
Ni 10.076 2.919 3.187
Se 2.612 0.757 3.742
In 3.359 0.973 1.062
Se 5.630 1.631 2.548
```

---

# 3
A plane-wave DFT calculation with PBE-GGA was carried out for K2As2Au after structural relaxation.

Calculated values
The total energy is -15.9 eV per cell. As for the space group: I4/mmm (139).

```
5
Lattice="3.845 0.000 0.000 0.000 3.845 0.000 1.922 1.922 9.893" Properties=species:S:1:pos:R:3 pbc="T T T"
K 1.922 1.922 2.081
K 3.845 3.845 7.812
As 1.922 3.845 4.946
Au 0.000 0.000 0.000
As 3.845 1.922 4.946
```

---

no.,density of states at the Fermi level (states/eV/atom)
1,0.5378
2,0.4250
3,0.2907